Entry 1:
# HfNb2InC, optimized geometry, DFT GGA-PBE
data_HfNb2InC
_chemical_formula_sum 'Hf1 Nb2 In1 C1'
_symmetry_space_group_name_H-M 'P 4/m m m'
_symmetry_Int_Tables_number 123
_symmetry_space_group_name_Hall '-P 4 2'
_cell_length_a 4.3396
_cell_length_b 4.3396
_cell_length_c 4.5892
_cell_angle_alpha 90.00
_cell_angle_beta 90.00
_cell_angle_gamma 90.00
loop_
_atom_site_label
_atom_site_fract_x
_atom_site_fract_y
_atom_site_fract_z
Hf1 0.0000 0.0000 0.0000
Nb1 0.0000 0.5000 0.5000
In1 0.5000 0.5000 0.0000
C1 0.0000 0.0000 0.5000
# **Formation energy from the elements**: -255.6 meV per atom
# **Volume**: 86 Å³/cell

Entry 2:
# HfSc2InC, optimized geometry, DFT GGA-PBE
data_HfSc2InC
_chemical_formula_sum 'Hf1 Sc2 In1 C1'
_symmetry_space_group_name_H-M 'P 4/m m m'
_symmetry_Int_Tables_number 123
_symmetry_space_group_name_Hall '-P 4 2'
_cell_length_a 4.5390
_cell_length_b 4.5390
_cell_length_c 4.5283
_cell_angle_alpha 90.00
_cell_angle_beta 90.00
_cell_angle_gamma 90.00
loop_
_atom_site_label
_atom_site_fract_x
_atom_site_fract_y
_atom_site_fract_z
Hf1 0.0000 0.0000 0.0000
Sc1 0.0000 0.5000 0.5000
In1 0.5000 0.5000 0.0000
C1 0.0000 0.0000 0.5000
# **Formation energy from the elements**: -616.9 meV per atom
# **Volume**: 93 Å³/cell

Entry 3:
# Hf2InTeC, optimized geometry, DFT GGA-PBE
data_Hf2InTeC
_chemical_formula_sum 'Hf2 In1 Te1 C1'
_symmetry_space_group_name_H-M 'P 4/m m m'
_symmetry_Int_Tables_number 123
_symmetry_space_group_name_Hall '-P 4 2'
_cell_length_a 5.2518
_cell_length_b 5.2518
_cell_length_c 5.5673
_cell_angle_alpha 90.00
_cell_angle_beta 90.00
_cell_angle_gamma 90.00
loop_
_atom_site_label
_atom_site_fract_x
_atom_site_fract_y
_atom_site_fract_z
Hf1 0.0000 0.5000 0.0000
In1 0.0000 0.0000 0.5000
Te1 0.0000 0.0000 0.0000
C1 0.5000 0.5000 0.5000
# **Volume**: 154 Å³/cell
# **Uncorrected formation energy**: 2.30 eV per atom

Entry 4:
# Hf2TiInC, optimized geometry, DFT GGA-PBE
data_Hf2TiInC
_chemical_formula_sum 'Hf2 Ti1 In1 C1'
_symmetry_space_group_name_H-M 'P 4/m m m'
_symmetry_Int_Tables_number 123
_symmetry_space_group_name_Hall '-P 4 2'
_cell_length_a 4.5170
_cell_length_b 4.5170
_cell_length_c 4.2713
_cell_angle_alpha 90.00
_cell_angle_beta 90.00
_cell_angle_gamma 90.00
loop_
_atom_site_label
_atom_site_fract_x
_atom_site_fract_y
_atom_site_fract_z
Hf1 0.0000 0.5000 0.0000
Ti1 0.0000 0.0000 0.5000
In1 0.5000 0.5000 0.5000
C1 0.0000 0.0000 0.0000
# **Formation energy from the elements**: -494.7 meV per atom
# **Volume**: 87 Å³/cell

Entry 5:
# Hf2Ti4In2C, optimized geometry, DFT GGA-PBE
data_Hf2Ti4In2C
_chemical_formula_sum 'Hf4 Ti8 In4 C2'
_symmetry_space_group_name_H-M 'I 4/m m m'
_symmetry_Int_Tables_number 139
_symmetry_space_group_name_Hall '-I 4 2'
_cell_length_a 6.2650
_cell_length_b 6.2650
_cell_length_c 8.1686
_cell_angle_alpha 90.00
_cell_angle_beta 90.00
_cell_angle_gamma 90.00
loop_
_atom_site_label
_atom_site_fract_x
_atom_site_fract_y
_atom_site_fract_z
Hf1 0.0000 0.0000 0.2225
Ti1 0.2387 0.2387 0.5000
In1 0.0000 0.5000 0.2500
C1 0.0000 0.0000 0.5000
# **Formation energy from the elements**: -306.5 meV per atom
# **Volume**: 321 Å³/cell

Entry 6:
# Hf2VInC, optimized geometry, DFT GGA-PBE
data_Hf2VInC
_chemical_formula_sum 'Hf2 V1 In1 C1'
_symmetry_space_group_name_H-M 'P 4/m m m'
_symmetry_Int_Tables_number 123
_symmetry_space_group_name_Hall '-P 4 2'
_cell_length_a 4.5709
_cell_length_b 4.5709
_cell_length_c 4.0094
_cell_angle_alpha 90.00
_cell_angle_beta 90.00
_cell_angle_gamma 90.00
loop_
_atom_site_label
_atom_site_fract_x
_atom_site_fract_y
_atom_site_fract_z
Hf1 0.0000 0.5000 0.0000
V1 0.0000 0.0000 0.5000
In1 0.5000 0.5000 0.5000
C1 0.0000 0.0000 0.0000
# **Formation energy from the elements**: -381.5 meV per atom
# **Volume**: 84 Å³/cell

Entry 7:
# Hf2IrC, optimized geometry, DFT GGA-PBE
data_Hf2IrC
_chemical_formula_sum 'Hf8 Ir4 C4'
_symmetry_space_group_name_H-M 'I -4 2 d'
_symmetry_Int_Tables_number 122
_symmetry_space_group_name_Hall 'I -4 2bw'
_cell_length_a 6.2989
_cell_length_b 6.2989
_cell_length_c 7.0307
_cell_angle_alpha 90.00
_cell_angle_beta 90.00
_cell_angle_gamma 90.00
loop_
_atom_site_label
_atom_site_fract_x
_atom_site_fract_y
_atom_site_fract_z
Hf1 0.1896 0.2500 0.1250
Ir1 0.0000 0.0000 0.5000
C1 0.0000 0.0000 0.0000
# **Formation energy from the elements**: -234.5 meV per atom
# **Volume**: 279 Å³/cell

Entry 8:
# Hf12Ir5C2, optimized geometry, DFT GGA-PBE
data_Hf12Ir5C2
_chemical_formula_sum 'Hf24 Ir10 C4'
_symmetry_space_group_name_H-M 'C 1 2/m 1'
_symmetry_Int_Tables_number 12
_cell_length_a 14.9291
_cell_length_b 6.6083
_cell_length_c 8.1076
_cell_angle_alpha 90.00
_cell_angle_beta 105.38
_cell_angle_gamma 90.00
loop_
_symmetry_equiv_pos_as_xyz
'x,y,z'
'-x,-y,-z'
'-x,y,-z'
'x,-y,z'
'x+1/2,y+1/2,z'
'-x+1/2,-y+1/2,-z'
'-x+1/2,y+1/2,-z'
'x+1/2,-y+1/2,z'
loop_
_atom_site_label
_atom_site_fract_x
_atom_site_fract_y
_atom_site_fract_z
Hf1 0.0011 0.0000 0.3031
Hf2 0.0095 0.5000 0.3222
Hf3 0.1480 0.2558 0.0670
Hf4 0.1607 0.2505 0.5899
Ir1 0.0000 0.5000 0.0000
Ir2 0.1865 0.0000 0.3368
Ir3 0.1973 0.0000 0.8549
C1 0.0000 0.2372 0.5000
# **Formation energy from the elements**: -556.6 meV per atom
# **Volume**: 771 Å³/cell